[1]
SiMo3Os: optimized geometry, PBE.

```
SiMo3Os
1.0
-2.601 2.146 3.320
-3.293 -3.375 -0.398
2.187 -2.529 3.348
Si Os Mo
1 1 3
Direct
0.500 0.500 0.500
0.000 0.000 0.000
0.000 0.500 0.000
0.000 0.000 0.500
0.500 0.000 0.000
```

Formation energy from raw total energies in eV/atom: 1.760
Size of the total moment in μB/f.u.: 1.83
N(E_F) in states/eV/atom: 1.12
Space group: Pm-3m
Energy above the most stable polymorph in this dataset in eV per atom: 0.5736



[2]
IrOsCl2: optimized geometry, PBE.

```
IrOsCl2
1.0
-3.007 -0.249 2.795
1.309 -3.748 1.075
3.897 1.205 7.325
Os Cl Ir
2 4 2
Direct
0.500 0.500 0.000
0.250 0.750 0.500
0.375 0.382 0.750
0.618 0.125 0.250
0.875 0.868 0.750
0.132 0.625 0.250
0.750 0.250 0.500
0.000 0.000 0.000
```

Formation energy from raw total energies in eV/atom: 1.154
Size of the total moment in μB/f.u.: 0.00
N(E_F) in states/eV/atom: 1.91
Space group: I-42d
Energy above the most stable polymorph in this dataset in eV per atom: 1.0244



[3]
MnMo2PSe: optimized geometry, PBE.

```
MnMo2PSe
1.0
4.633 0.000 0.000
0.000 4.039 0.000
0.000 0.000 4.633
Mn Se P Mo
1 1 1 2
Direct
0.000 0.000 0.000
0.500 0.500 0.500
0.000 0.500 0.000
0.000 0.000 0.500
0.500 0.000 0.000
```

Formation energy from raw total energies in eV/atom: 0.823
Size of the total moment in μB/f.u.: 1.11
N(E_F) in states/eV/atom: 1.06
Space group: P4/mmm